Compound: V2AsW
Source: Alexandria via LeMat-Bulk
Functional: PBE-GGA
Structure: optimized geometry

ΔH_f (0 K): -150 meV/atom
distance to the lowest polymorph of the same formula: 0.0 meV per atom
total magnetization: 0.00 μB per atom
crystal system: tetragonal

Geometry as POSCAR:
```
V2AsW
1.0
-2.091 2.123 1.286
-1.637 0.084 -2.801
-3.149 -4.140 1.717
As V W
1 2 1
Direct
0.500 0.500 0.500 As
0.000 0.000 0.737 V
0.000 0.000 0.263 V
0.500 0.500 0.000 W
```